# 1
The following is a DFT calculation (SCAN) of a crystal of CoSbRh relaxed with PBEsol.

Structure (POSCAR):
```
CoSbRh
1.0
-1.0435 -2.9090 -1.3702
2.3967 -1.6640 1.7075
-3.1704 1.7696 2.8280
Sb Rh Co
1 1 1
Cartesian
-0.1606 -2.4600 1.1746 Sb
-1.6675 -0.3456 2.0037 Rh
-1.8064 -2.8012 3.1523 Co
```

Results
formation energy from raw total energies	-0.027	eV per atom
SG	I4mm, No. 107

# 2
The following is a DFT calculation (SCAN) of a crystal of Sc2CoRh relaxed with PBEsol.

Structure (POSCAR):
```
Sc2CoRh
1.0
-1.5890 -2.4273 1.8122
1.8766 0.8176 2.7405
-3.8820 3.7015 1.5541
Co Rh Sc
1 1 2
Cartesian
-1.7746 1.6921 0.7104 Co
-2.8854 2.0834 3.4890 Rh
-3.6837 3.5124 1.4747 Sc
-1.0737 0.3560 2.7638 Sc
```

Results
energy relative to the elements	-6.438	kcal/mol of atoms
SG	P4mm, No. 99

# 3
The following is a DFT calculation (SCAN) of a crystal of ScCoRh relaxed with PBEsol.

Structure (POSCAR):
```
ScCoRh
1.0
-2.6570 0.2393 1.5888
-1.4405 -1.7199 -2.1499
3.0811 -2.9833 2.5677
Co Rh Sc
1 1 1
Cartesian
0.0132 -0.0476 0.0292 Co
-1.7214 -1.9209 0.4447 Rh
0.6918 -2.4953 1.5327 Sc
```

Results
energy above the most stable polymorph in this dataset	0.000	eV per atom
energy relative to the elements	-10.133	kcal/mol of atoms
SG	I4mm, No. 107

# 4
The following is a DFT calculation (SCAN) of a crystal of Sc2CoRh relaxed with PBEsol.

Structure (POSCAR):
```
Sc2CoRh
1.0
-0.6238 -2.6082 1.6250
-0.4659 -2.2467 -3.7849
4.3135 -0.9946 0.0594
Sc Rh Co
2 1 1
Cartesian
0.0000 0.0000 0.0000 Sc
1.9238 -1.6207 -1.8627 Sc
1.8448 -1.8014 0.8422 Rh
-0.5449 -2.4275 -1.0800 Co
```

Results
energy relative to the elements	-17.437	kcal/mol of atoms
SG	P4/mmm, No. 123

The records above give, respectively, mass density values of 10.48 6.40 7.93 6.80 g/cm3.